(1)
First-principles (GGA-PBEsol) data for a geometry-optimized RbZnTeI2 structure, as listed in the Alexandria database.

The structure belongs to space group P4/mmm (No. 123); the cell edges are 6.6960, 6.6960 and 6.8186 Å and the angles 90.00°, 90.00° and 90.00°. The inequivalent atoms are Rb at (0.0000, 0.0000, 0.0000), Zn at (0.5000, 0.5000, 0.5000), Te at (0.0000, 0.0000, 0.5000) and I at (0.0000, 0.5000, 0.0000).

The formation energy from raw total energies comes out at 0.486 eV per atom. Its density of states at the Fermi level is 7.10 states/eV/f.u.

=====

(2)
First-principles (GGA-PBEsol) data for a geometry-optimized Rb2Tl2I structure, as listed in the Alexandria database.

The structure belongs to space group I4/mmm (No. 139); the cell edges are 4.3862, 4.3862 and 21.3588 Å and the angles 90.00°, 90.00° and 90.00°. The inequivalent atoms are Rb at (0.0000, 0.0000, 0.0979), Tl at (0.0000, 0.5000, 0.2500) and I at (0.0000, 0.0000, 0.5000).

The formation energy from raw total energies comes out at -0.572 eV per atom. Its density of states at the Fermi level is 1.68 states/eV/f.u.

=====

(3)
First-principles (GGA-PBEsol) data for a geometry-optimized Rb2TlI structure, as listed in the Alexandria database.

The structure belongs to space group Fm-3m (No. 225); the cell edges are 8.8699, 8.8699 and 8.8699 Å and the angles 90.00°, 90.00° and 90.00°. The inequivalent atoms are Rb at (0.2500, 0.2500, 0.2500), Tl at (0.0000, 0.0000, 0.0000) and I at (0.0000, 0.0000, 0.5000).

The formation energy from raw total energies comes out at -0.408 eV per atom. Its density of states at the Fermi level is 5.00 states/eV/f.u.